## P
## Hg4SbO6 (PBE)

Data for an optimized crystal structure of Hg4SbO6.

abc: 8.648 8.648 4.854
angles: 105.82 105.82 133.77
Sites, in units of the cell vectors:
Hg1 0.106 0.894 0.000
Hg2 0.279 0.721 0.000
Hg3 0.721 0.279 0.000
Hg4 0.894 0.106 0.000
Sb1 0.500 0.500 0.000
O1 0.188 0.398 0.966
O2 0.243 0.243 0.442
O3 0.398 0.188 0.966
O4 0.602 0.812 0.034
O5 0.757 0.757 0.558
O6 0.812 0.602 0.034

Properties
calculated volume = 17.2 Å³ per atom
crystal system = monoclinic

---

## Q
## Hg4SbO6 (PBE)

Data for an optimized crystal structure of Hg4SbO6.

abc: 6.076 6.088 6.166
angles: 89.49 79.80 61.66
Sites, in units of the cell vectors:
Hg1 0.145 0.157 0.481
Hg2 0.343 0.334 0.963
Hg3 0.657 0.666 0.037
Hg4 0.855 0.843 0.519
Sb1 0.000 0.000 0.000
O1 0.011 0.282 0.186
O2 0.257 0.734 0.153
O3 0.285 0.011 0.768
O4 0.715 0.989 0.232
O5 0.743 0.266 0.847
O6 0.989 0.718 0.814

Properties
calculated volume = 17.9 Å³ per atom
crystal system = triclinic

---

Order of stability, best first: Q, P

---

## P
## Hg2Sb2O7 (PBE)

Data for an optimized crystal structure of Hg2Sb2O7.

abc: 7.458 7.458 7.458
angles: 60.00 60.00 60.00
Sites, in units of the cell vectors:
Hg1 0.000 0.000 0.000
Hg2 0.000 0.000 0.500
Hg3 0.000 0.500 0.000
Hg4 0.500 0.000 0.000
Sb1 0.000 0.500 0.500
Sb2 0.500 0.000 0.500
Sb3 0.500 0.500 0.000
Sb4 0.500 0.500 0.500
O1 0.125 0.125 0.125
O2 0.179 0.179 0.571
O3 0.179 0.571 0.179
O4 0.179 0.571 0.571
O5 0.429 0.429 0.821
O6 0.429 0.821 0.429
O7 0.429 0.821 0.821
O8 0.571 0.179 0.179
O9 0.571 0.179 0.571
O10 0.571 0.571 0.179
O11 0.821 0.429 0.429
O12 0.821 0.429 0.821
O13 0.821 0.821 0.429
O14 0.875 0.875 0.875

Properties
calculated volume = 13.3 Å³ per atom
crystal system = cubic

---

## Q
## Hg2Sb2O7 (PBE)

Data for an optimized crystal structure of Hg2Sb2O7.

abc: 5.406 5.406 9.325
angles: 95.58 95.58 119.29
Sites, in units of the cell vectors:
Hg1 0.250 0.250 0.182
Hg2 0.750 0.750 0.818
Sb1 0.324 0.676 0.500
Sb2 0.676 0.324 0.500
O1 0.000 0.000 0.000
O2 0.032 0.655 0.623
O3 0.345 0.968 0.377
O4 0.455 0.455 0.632
O5 0.545 0.545 0.368
O6 0.655 0.032 0.623
O7 0.968 0.345 0.377

Properties
calculated volume = 21.2 Å³ per atom
crystal system = monoclinic

---

Order of stability, best first: P, Q

---

## P
## HgSb3O (PBE)

Data for an optimized crystal structure of HgSb3O.

abc: 5.540 5.540 5.540
angles: 90.00 90.00 90.00
Sites, in units of the cell vectors:
Hg1 0.000 0.000 0.000
Sb1 0.000 0.000 0.500
Sb2 0.000 0.500 0.000
Sb3 0.500 0.000 0.000
O1 0.500 0.500 0.500

Properties
calculated volume = 34.0 Å³ per atom
crystal system = cubic

---

## Q
## HgSb3O (PBE)

Data for an optimized crystal structure of HgSb3O.

abc: 4.869 4.869 4.869
angles: 90.00 90.00 90.00
Sites, in units of the cell vectors:
Hg1 0.000 0.000 0.000
Sb1 0.000 0.500 0.500
Sb2 0.500 0.000 0.500
Sb3 0.500 0.500 0.000
O1 0.500 0.500 0.500

Properties
calculated volume = 23.1 Å³ per atom
crystal system = cubic

---

Order of stability, best first: Q, P

---

## P
## Hg2SbO4 (PBE)

Data for an optimized crystal structure of Hg2SbO4.

abc: 3.983 3.983 12.896
angles: 90.00 90.00 90.00
Sites, in units of the cell vectors:
Hg1 0.000 0.000 0.159
Hg2 0.000 0.000 0.841
Hg3 0.500 0.500 0.341
Hg4 0.500 0.500 0.659
Sb1 0.000 0.000 0.500
Sb2 0.500 0.500 0.000
O1 0.000 0.000 0.343
O2 0.000 0.000 0.657
O3 0.000 0.500 0.000
O4 0.000 0.500 0.500
O5 0.500 0.000 0.000
O6 0.500 0.000 0.500
O7 0.500 0.500 0.157
O8 0.500 0.500 0.843

Properties
calculated volume = 14.6 Å³ per atom
crystal system = tetragonal

---

## Q
## Hg2SbO4 (PBE)

Data for an optimized crystal structure of Hg2SbO4.

abc: 12.981 3.185 5.186
angles: 90.00 105.85 90.00
Sites, in units of the cell vectors:
Hg1 0.195 0.000 0.165
Hg2 0.305 0.500 0.835
Hg3 0.695 0.500 0.165
Hg4 0.805 0.000 0.835
Sb1 0.000 0.500 0.500
Sb2 0.500 0.000 0.500
O1 0.046 0.000 0.759
O2 0.146 0.500 0.437
O3 0.354 0.000 0.563
O4 0.454 0.500 0.241
O5 0.546 0.500 0.759
O6 0.646 0.000 0.437
O7 0.854 0.500 0.563
O8 0.954 0.000 0.241

Properties
calculated volume = 14.7 Å³ per atom
crystal system = monoclinic

---

Order of stability, best first: Q, P

---

## P
## Sc2HgO2 (PBE)

Data for an optimized crystal structure of Sc2HgO2.

abc: 6.905 6.905 2.914
angles: 90.00 90.00 90.00
Sites, in units of the cell vectors:
Sc1 0.145 0.355 0.000
Sc2 0.355 0.855 0.000
Sc3 0.645 0.145 0.000
Sc4 0.855 0.645 0.000
Hg1 0.000 0.000 0.500
Hg2 0.500 0.500 0.500
O1 0.124 0.624 0.500
O2 0.376 0.124 0.500
O3 0.624 0.876 0.500
O4 0.876 0.376 0.500

Properties
calculated volume = 13.9 Å³ per atom
crystal system = tetragonal

---

## Q
## Sc2HgO2 (PBE)

Data for an optimized crystal structure of Sc2HgO2.

abc: 4.157 4.157 11.274
angles: 90.00 90.00 90.00
Sites, in units of the cell vectors:
Sc1 0.000 0.500 0.250
Sc2 0.000 0.500 0.750
Sc3 0.500 0.000 0.250
Sc4 0.500 0.000 0.750
Hg1 0.000 0.000 0.000
Hg2 0.500 0.500 0.500
O1 0.000 0.000 0.282
O2 0.000 0.000 0.718
O3 0.500 0.500 0.218
O4 0.500 0.500 0.782

Properties
calculated volume = 19.5 Å³ per atom
crystal system = tetragonal

---

Order of stability, best first: Q, P

---

## P
## HgSeO2 (PBE)

Data for an optimized crystal structure of HgSeO2.

abc: 10.486 3.898 5.798
angles: 90.00 122.92 90.00
Sites, in units of the cell vectors:
Hg1 0.000 0.000 0.000
Hg2 0.500 0.500 0.000
Se1 0.000 0.725 0.500
Se2 0.500 0.225 0.500
O1 0.153 0.476 0.652
O2 0.347 0.976 0.348
O3 0.653 0.976 0.652
O4 0.847 0.476 0.348

Properties
calculated volume = 24.9 Å³ per atom
crystal system = monoclinic

---

## Q
## HgSeO2 (PBE)

Data for an optimized crystal structure of HgSeO2.

abc: 5.996 5.996 5.996
angles: 90.00 90.00 90.00
Sites, in units of the cell vectors:
Hg1 0.000 0.000 0.000
Hg2 0.000 0.500 0.500
Hg3 0.500 0.000 0.500
Hg4 0.500 0.500 0.000
Se1 0.000 0.000 0.500
Se2 0.000 0.500 0.000
Se3 0.500 0.000 0.000
Se4 0.500 0.500 0.500
O1 0.250 0.250 0.250
O2 0.250 0.250 0.750
O3 0.250 0.750 0.250
O4 0.250 0.750 0.750
O5 0.750 0.250 0.250
O6 0.750 0.250 0.750
O7 0.750 0.750 0.250
O8 0.750 0.750 0.750

Properties
calculated volume = 13.5 Å³ per atom
crystal system = cubic

---

Order of stability, best first: P, Q

---

## P
## HgSeO2 (PBE)

Data for an optimized crystal structure of HgSeO2.

abc: 6.229 6.229 6.229
angles: 60.00 60.00 60.00
Sites, in units of the cell vectors:
Hg1 0.125 0.125 0.125
Hg2 0.875 0.875 0.875
Se1 0.375 0.375 0.375
Se2 0.625 0.625 0.625
O1 0.000 0.500 0.500
O2 0.500 0.000 0.500
O3 0.500 0.500 0.000
O4 0.500 0.500 0.500

Properties
calculated volume = 21.4 Å³ per atom
crystal system = cubic

---

## Q
## HgSeO2 (PBE)

Data for an optimized crystal structure of HgSeO2.

abc: 3.358 3.358 19.561
angles: 90.00 90.00 120.00
Sites, in units of the cell vectors:
Hg1 0.000 0.000 0.000
Hg2 0.333 0.667 0.667
Hg3 0.667 0.333 0.333
Se1 0.000 0.000 0.500
Se2 0.333 0.667 0.167
Se3 0.667 0.333 0.833
O1 0.000 0.000 0.403
O2 0.000 0.000 0.597
O3 0.333 0.667 0.070
O4 0.333 0.667 0.264
O5 0.667 0.333 0.736
O6 0.667 0.333 0.930

Properties
calculated volume = 15.9 Å³ per atom
crystal system = trigonal

---

## R
## HgSeO2 (PBE)

Data for an optimized crystal structure of HgSeO2.

abc: 3.156 3.156 22.981
angles: 90.00 90.00 120.00
Sites, in units of the cell vectors:
Hg1 0.000 0.000 0.000
Hg2 0.333 0.667 0.667
Hg3 0.667 0.333 0.333
Se1 0.000 0.000 0.500
Se2 0.333 0.667 0.167
Se3 0.667 0.333 0.833
O1 0.000 0.000 0.120
O2 0.000 0.000 0.880
O3 0.333 0.667 0.546
O4 0.333 0.667 0.787
O5 0.667 0.333 0.213
O6 0.667 0.333 0.454

Properties
calculated volume = 16.5 Å³ per atom
crystal system = trigonal

---

Order of stability, best first: Q, R, P

---

## P
## HgSe2O (PBE)

Data for an optimized crystal structure of HgSe2O.

abc: 6.570 6.570 6.570
angles: 90.00 90.00 90.00
Sites, in units of the cell vectors:
Hg1 0.000 0.000 0.000
Hg2 0.000 0.500 0.500
Hg3 0.500 0.000 0.500
Hg4 0.500 0.500 0.000
Se1 0.250 0.250 0.250
Se2 0.250 0.250 0.750
Se3 0.250 0.750 0.250
Se4 0.250 0.750 0.750
Se5 0.750 0.250 0.250
Se6 0.750 0.250 0.750
Se7 0.750 0.750 0.250
Se8 0.750 0.750 0.750
O1 0.000 0.000 0.500
O2 0.000 0.500 0.000
O3 0.500 0.000 0.000
O4 0.500 0.500 0.500

Properties
calculated volume = 17.7 Å³ per atom
crystal system = cubic

---

## Q
## HgSe2O (PBE)

Data for an optimized crystal structure of HgSe2O.

abc: 4.078 4.078 25.716
angles: 90.00 90.00 120.00
Sites, in units of the cell vectors:
Hg1 0.000 0.000 0.000
Hg2 0.333 0.667 0.667
Hg3 0.667 0.333 0.333
Se1 0.000 0.000 0.148
Se2 0.000 0.000 0.852
Se3 0.333 0.667 0.519
Se4 0.333 0.667 0.814
Se5 0.667 0.333 0.186
Se6 0.667 0.333 0.481
O1 0.000 0.000 0.500
O2 0.333 0.667 0.167
O3 0.667 0.333 0.833

Properties
calculated volume = 30.9 Å³ per atom
crystal system = trigonal

---

Order of stability, best first: Q, P